1.
The following is a DFT calculation (PBE) of a relaxed Mg2MnCr crystal.

```
Mg2MnCr
1.0
4.889 -0.619 -0.365
1.907 4.544 0.365
-3.213 -2.283 2.981
Mn Mg Cr
1 2 1
direct
0.250 0.750 0.500
0.000 0.000 0.000
0.500 0.500 0.000
0.750 0.250 0.500
```

Values from the calculation:
As for the space group: I4/mmm (139). For the energy of formation, the calculation gives 0.3350 eV per atom. For the polymorph energy (0 for the lowest one), the calculation gives 0.173 eV/atom. For the density, the calculation gives 3.6 g/cm3. As for the total DFT energy (no corrections): -5.16 eV/atom.

***

2.
The following is a DFT calculation (PBE) of a relaxed NaSr2Tl3 crystal.

```
NaSr2Tl3
1.0
6.627 -0.919 0.000
-1.176 6.587 0.000
-2.726 -2.834 9.300
Na Tl Sr
2 6 4
direct
0.334 0.334 0.667
0.666 0.666 0.333
0.337 0.833 0.170
0.663 0.167 0.830
0.832 0.832 0.664
0.167 0.663 0.830
0.168 0.168 0.336
0.833 0.337 0.170
0.244 0.244 0.000
0.756 0.756 0.000
0.750 0.250 0.500
0.250 0.750 0.500
```

Values from the calculation:
As for the space group: Fmmm (69). For the energy of formation, the calculation gives -0.2637 eV per atom. For the polymorph energy (0 for the lowest one), the calculation gives 0.051 eV/atom. For the density, the calculation gives 6.8 g/cm3. As for the total DFT energy (no corrections): -2.23 eV/atom.

***

3.
The following is a DFT calculation (PBE) of a relaxed CeNd4Ho3S8 crystal.

```
CeNd4Ho3S8
1.0
7.961 0.000 0.000
0.000 8.016 0.033
-3.981 -3.977 5.632
S Nd Ho Ce
8 4 3 1
direct
0.260 0.264 0.012
0.740 0.736 0.988
0.752 0.264 0.012
0.248 0.736 0.988
0.744 0.732 0.488
0.256 0.268 0.512
0.248 0.736 0.496
0.752 0.264 0.504
0.000 0.000 0.000
0.500 0.000 0.500
0.500 0.000 0.000
0.000 0.000 0.500
0.000 0.500 0.500
0.500 0.500 0.500
0.500 0.500 0.000
0.000 0.500 0.000
```

Values from the calculation:
As for the space group: R-3m (166). The calculation puts the formation energy from raw total energies at -194 kJ/mol of atoms. For the density, the calculation gives 6.8 g/cm3. As for the total DFT energy (no corrections): -6.50 eV/atom.

***

4.
The following is a DFT calculation (PBE) of a relaxed EuGaAu crystal.

```
EuGaAu
1.0
-1.678 2.639 2.350
-0.975 -3.315 3.026
3.980 2.274 0.288
Eu Ga Au
1 1 1
direct
0.667 0.667 0.333
0.167 0.333 0.667
0.167 0.000 0.000
```

Values from the calculation:
As for the space group: P-6m2 (187). For the energy of formation, the calculation gives -0.7093 eV per atom. For the density, the calculation gives 9.7 g/cm3. As for the total DFT energy (no corrections): -6.24 eV/atom.

***

5.
The following is a DFT calculation (PBE) of a relaxed YHoCdIr crystal.

```
YHoCdIr
1.0
-4.663 -1.801 0.561
-2.611 -1.517 -4.023
-0.907 -4.896 -0.709
Ir Cd Ho Y
1 1 1 1
direct
0.500 0.500 0.500
0.000 0.000 0.000
0.250 0.250 0.250
0.750 0.750 0.750
```

Values from the calculation:
As for the space group: F-43m (216). For the energy of formation, the calculation gives -0.5596 eV per atom. For the density, the calculation gives 10.3 g/cm3. As for the total DFT energy (no corrections): -5.76 eV/atom.

***

6.
The following is a DFT calculation (PBE) of a relaxed CaHfRhO2 crystal.

```
CaHfRhO2
1.0
-3.661 0.943 -2.170
0.830 -3.547 -2.942
-2.236 -2.685 2.606
O Hf Ca Rh
2 1 1 1
direct
0.000 0.000 0.500
0.500 0.000 0.000
0.000 0.500 0.000
0.500 0.500 0.500
0.000 0.000 0.000
```

Values from the calculation:
As for the space group: P4/mmm (123). The calculation puts the formation energy from raw total energies at 0 kJ/mol of atoms. For the density, the calculation gives 6.6 g/cm3. As for the total DFT energy (no corrections): -5.84 eV/atom.

***

7.
The following is a DFT calculation (PBE) of a relaxed Lu3Cu4Ge4 crystal.

```
Lu3Cu4Ge4
1.0
3.866 -0.003 0.000
-0.003 4.105 -0.007
-1.930 -2.053 12.277
Cu Ge Lu
4 4 3
direct
0.405 0.904 0.810
0.748 0.746 0.495
0.595 0.096 0.190
0.252 0.254 0.505
0.450 0.449 0.899
0.310 0.811 0.618
0.690 0.189 0.382
0.550 0.551 0.101
0.000 0.000 0.000
0.150 0.648 0.299
0.850 0.352 0.701
```

Values from the calculation:
As for the space group: P-1 (2). For the energy of formation, the calculation gives -0.5345 eV per atom. For the density, the calculation gives 9.1 g/cm3. As for the total DFT energy (no corrections): -4.94 eV/atom.

***

8.
The following is a DFT calculation (PBE) of a relaxed Ta2TiOs2 crystal.

```
Ta2TiOs2
1.0
-3.199 6.687 0.940
-6.741 -3.099 -0.893
-0.169 -0.509 3.044
Ta Os Ti
4 4 2
direct
0.839 0.339 0.500
0.661 0.839 0.500
0.339 0.161 0.500
0.161 0.661 0.500
0.861 0.639 0.000
0.639 0.139 0.000
0.139 0.361 0.000
0.361 0.861 0.000
0.000 0.000 0.000
0.500 0.500 0.000
```

Values from the calculation:
As for the space group: P4/mbm (127). For the energy of formation, the calculation gives -0.0674 eV per atom. For the polymorph energy (0 for the lowest one), the calculation gives 0.121 eV/atom. For the density, the calculation gives 15.2 g/cm3. As for the total DFT energy (no corrections): -10.88 eV/atom.

***

9.
The following is a DFT calculation (PBE) of a relaxed SiAgAs2O8 crystal.

```
SiAgAs2O8
1.0
4.863 0.000 0.000
-2.432 4.212 0.000
0.000 0.000 7.152
O As Ag Si
8 2 1 1
direct
0.695 0.716 0.650
0.333 0.667 0.959
0.022 0.305 0.650
0.716 0.022 0.350
0.305 0.284 0.350
0.667 0.333 0.041
0.284 0.978 0.650
0.978 0.695 0.350
0.333 0.667 0.717
0.667 0.333 0.283
0.000 0.000 0.000
0.000 0.000 0.500
```

Values from the calculation:
As for the space group: P-3 (147). The calculation puts the formation energy from raw total energies at -116 kJ/mol of atoms. For the density, the calculation gives 4.7 g/cm3. As for the total DFT energy (no corrections): -5.97 eV/atom.

***

10.
The following is a DFT calculation (PBE) of a relaxed Cs2Zn2H7 crystal.

```
Cs2Zn2H7
1.0
-2.334 -1.367 -2.680
5.289 -0.599 -4.301
-0.185 -6.026 3.237
Zn Cs H
2 2 7
direct
0.000 0.207 0.207
0.000 0.793 0.793
0.500 0.254 0.746
0.500 0.746 0.254
0.500 0.773 0.773
0.000 0.885 0.597
0.000 0.115 0.403
0.000 0.403 0.115
0.500 0.227 0.227
0.000 0.597 0.885
0.000 0.000 0.000
```

Values from the calculation:
As for the space group: Cmmm (65). For the density, the calculation gives 3.9 g/cm3. As for the total DFT energy (no corrections): -2.53 eV/atom.

***

11.
The following is a DFT calculation (PBE) of a relaxed Li2BeSi3Pt4 crystal.

```
Li2BeSi3Pt4
1.0
3.910 0.000 0.000
0.000 3.910 0.000
0.000 0.000 10.381
Si Be Li Pt
3 1 2 4
direct
0.000 0.000 0.500
0.000 0.500 0.142
0.500 0.000 0.858
0.500 0.500 0.500
0.000 0.500 0.737
0.500 0.000 0.263
0.000 0.000 0.000
0.000 0.500 0.367
0.500 0.500 0.000
0.500 0.000 0.633
```

Values from the calculation:
As for the space group: P-4m2 (115). The calculation puts the formation energy from raw total energies at -65 kJ/mol of atoms. For the density, the calculation gives 9.3 g/cm3. As for the total DFT energy (no corrections): -5.47 eV/atom.

***

12.
The following is a DFT calculation (PBE) of a relaxed La4PrCo crystal.

```
La4PrCo
1.0
6.688 0.000 -0.002
0.000 7.236 0.179
-3.346 -2.791 8.235
La Co Pr
8 2 2
direct
0.506 0.001 0.198
0.107 0.142 0.383
0.308 0.499 0.802
0.723 0.358 0.617
0.277 0.642 0.383
0.494 0.999 0.802
0.893 0.858 0.617
0.692 0.501 0.198
0.000 0.500 0.500
0.500 0.000 0.500
0.936 0.750 0.000
0.064 0.250 0.000
```

Values from the calculation:
As for the space group: C2/c (15). For the energy of formation, the calculation gives -0.0352 eV per atom. For the polymorph energy (0 for the lowest one), the calculation gives 0.000 eV/atom. For the density, the calculation gives 6.2 g/cm3. As for the total DFT energy (no corrections): -5.30 eV/atom.

***

13.
The following is a DFT calculation (PBE) of a relaxed Y3InN crystal.

```
Y3InN
1.0
6.672 0.000 0.000
0.000 6.672 0.000
3.336 3.336 6.028
Y N In
6 2 2
direct
0.631 0.882 0.236
0.118 0.867 0.764
0.118 0.369 0.764
0.133 0.882 0.236
0.370 0.370 0.259
0.630 0.630 0.741
0.000 0.000 0.000
0.250 0.750 0.500
0.876 0.376 0.248
0.624 0.124 0.752
```

Values from the calculation:
As for the space group: I-4m2 (119). The calculation puts the formation energy from raw total energies at -43 kJ/mol of atoms. For the density, the calculation gives 4.9 g/cm3. As for the total DFT energy (no corrections): -6.54 eV/atom.

***

14.
The following is a DFT calculation (PBE) of a relaxed BeB2Cl2 crystal.

```
BeB2Cl2
1.0
7.824 0.000 0.000
0.000 7.824 0.000
0.000 0.000 2.798
Cl B Be
4 4 2
direct
0.863 0.637 0.000
0.363 0.863 0.000
0.137 0.363 0.000
0.637 0.137 0.000
0.756 0.256 0.500
0.744 0.756 0.500
0.244 0.744 0.500
0.256 0.244 0.500
0.000 0.000 0.000
0.500 0.500 0.000
```

Values from the calculation:
As for the space group: P4/mbm (127). The calculation puts the formation energy from raw total energies at 142 kJ/mol of atoms. For the polymorph energy (0 for the lowest one), the calculation gives 0.000 eV/atom. For the density, the calculation gives 2.0 g/cm3. As for the total DFT energy (no corrections): -2.68 eV/atom.

***

15.
The following is a DFT calculation (PBE) of a relaxed MgAlSe2N crystal.

```
MgAlSe2N
1.0
5.149 0.000 0.000
0.000 5.149 0.000
0.000 0.000 3.592
Mg Al Se N
1 1 2 1
direct
0.500 0.500 0.500
0.000 0.000 0.000
0.000 0.500 0.000
0.500 0.000 0.000
0.000 0.000 0.500
```

Values from the calculation:
As for the space group: P4/mmm (123). The calculation puts the formation energy from raw total energies at -8 kJ/mol of atoms. For the polymorph energy (0 for the lowest one), the calculation gives 0.000 eV/atom. For the density, the calculation gives 3.9 g/cm3. As for the total DFT energy (no corrections): -4.21 eV/atom.

***

16.
The following is a DFT calculation (PBE) of a relaxed NaLa2Ni crystal.

```
NaLa2Ni
1.0
-2.872 -2.374 1.730
0.881 -3.883 1.012
2.132 0.787 9.499
La Ni Na
2 1 1
direct
0.280 0.280 0.161
0.054 0.054 0.839
0.666 0.666 0.001
0.500 0.500 0.499
```

Values from the calculation:
As for the space group: R3m (160). For the energy of formation, the calculation gives -0.0886 eV per atom. For the polymorph energy (0 for the lowest one), the calculation gives 0.000 eV/atom. For the density, the calculation gives 4.3 g/cm3. As for the total DFT energy (no corrections): -4.33 eV/atom.

***

17.
The following is a DFT calculation (PBE) of a relaxed Zr2NpIn crystal.

```
Zr2NpIn
1.0
-0.784 -2.086 2.395
-1.663 -2.732 -0.690
7.893 -6.542 -0.878
Zr Np In
2 1 1
direct
0.750 0.750 0.750
0.250 0.250 0.250
0.000 0.000 0.000
0.500 0.500 0.500
```

Values from the calculation:
As for the space group: R-3m (166). For the energy of formation, the calculation gives 0.1234 eV per atom. For the polymorph energy (0 for the lowest one), the calculation gives 0.089 eV/atom. For the density, the calculation gives 9.5 g/cm3. As for the total DFT energy (no corrections): -8.07 eV/atom.

***

18.
The following is a DFT calculation (PBE) of a relaxed AcPmTe2 crystal.

```
AcPmTe2
1.0
4.701 -0.001 -0.001
-0.002 7.313 0.003
0.003 -0.005 10.293
Te Ac Pm
4 2 2
direct
0.200 0.153 0.420
0.701 0.545 0.198
0.701 0.653 0.797
0.201 0.045 0.018
0.701 0.440 0.521
0.201 0.940 0.695
0.201 0.795 0.268
0.701 0.295 0.948
```

Values from the calculation:
As for the space group: Pmn2_1 (31). The calculation puts the formation energy from raw total energies at -98 kJ/mol of atoms. For the polymorph energy (0 for the lowest one), the calculation gives 0.420 eV/atom. For the density, the calculation gives 5.9 g/cm3. As for the total DFT energy (no corrections): -4.80 eV/atom.

***

19.
The following is a DFT calculation (PBE) of a relaxed Dy2ErNb crystal.

```
Dy2ErNb
1.0
3.290 0.000 0.000
1.645 2.849 0.000
1.645 0.950 11.507
Er Dy Nb
1 2 1
direct
0.500 0.500 0.500
0.084 0.084 0.749
0.916 0.916 0.251
0.000 0.000 0.000
```

Values from the calculation:
As for the space group: R-3m (166). For the energy of formation, the calculation gives 0.5187 eV per atom. For the density, the calculation gives 9.0 g/cm3. As for the total DFT energy (no corrections): -5.44 eV/atom.

***

20.
The following is a DFT calculation (PBE) of a relaxed PmSnRh2 crystal.

```
PmSnRh2
1.0
-1.845 -0.455 2.916
2.771 -1.449 1.527
1.876 5.795 2.092
Pm Rh Sn
1 2 1
direct
0.500 0.500 0.500
0.000 0.000 0.224
0.000 0.000 0.776
0.500 0.500 0.000
```

Values from the calculation:
As for the space group: P4/mmm (123). For the energy of formation, the calculation gives -0.5638 eV per atom. For the density, the calculation gives 10.0 g/cm3. As for the total DFT energy (no corrections): -6.43 eV/atom.